{
  "formula": "Cr2O",
  "functional": "PBE with a Hubbard U",
  "state": "optimized geometry",
  "lattice_angstrom": [[4.044, 0.000, 0.000], [2.022, 3.503, 0.000], [2.022, 1.168, 3.302]],
  "species": ["Cr", "Cr", "O"],
  "fractional_positions": [[0.750, 0.750, 0.750], [0.250, 0.250, 0.250], [0.000, 0.000, 0.000]],
  "density_g_cm3": 4.3,
  "dos_ef_per_ev_fu": 4.02,
  "total_energy_ev_per_atom": -6.507
}